VASP calculation (PBE+U) on a relaxed structure of NdV2CdO8.

## Properties
Electronic total energy, eV/atom: -6.90
Calculated density, Mg/m³: 4.09

a b c (Å): 5.8994 5.8994 6.5564
angles (deg): 90.00 90.00 120.00
Last column: nearest neighbours and their distance in Å.
Element x y z (fractional)
Nd  0.0000  0.0000  0.0000  6 O 2.37
Cd  0.0000  0.0000  0.5000  6 O 2.37
O  0.8325  0.1675  0.2503  1 V 1.78
O  0.6667  0.3333  0.5865  1 V 1.66
O  0.1675  0.8325  0.7497  1 V 1.78
O  0.6649  0.8325  0.7497  1 V 1.78
O  0.1675  0.3351  0.7497  1 V 1.78
O  0.3333  0.6667  0.4135  1 V 1.66
O  0.8325  0.6649  0.2503  1 V 1.78
O  0.3351  0.1675  0.2503  1 V 1.78
V  0.3333  0.6667  0.6666  4 O 1.66-1.78
V  0.6667  0.3333  0.3334  4 O 1.66-1.78

VASP calculation (PBE+U) on a relaxed structure of Nd2VCdO6.

## Properties
Electronic total energy, eV/atom: -7.29
Calculated density, Mg/m³: 6.80

a b c (Å): 5.5475 5.9408 8.1142
angles (deg): 90.00 90.26 90.00
Last column: nearest neighbours and their distance in Å.
Element x y z (fractional)
O  0.3789  0.9457  0.7300  1 V 2.01
O  0.1727  0.2147  0.0720  1 V 2.03
O  0.8273  0.7853  0.9280  1 V 2.03
O  0.6727  0.2853  0.5720  1 V 2.03
O  0.2809  0.6697  0.0516  1 V 1.90
O  0.2191  0.1697  0.4484  1 V 1.90
O  0.1211  0.4457  0.7700  1 V 2.01
O  0.8789  0.5543  0.2300  1 V 2.01
O  0.3273  0.7147  0.4280  1 V 2.03
O  0.7191  0.3303  0.9484  1 V 1.90
O  0.6211  0.0543  0.2700  1 V 2.01
O  0.7809  0.8303  0.5516  1 V 1.90
Nd  0.5176  0.5661  0.7514  5 O 2.32-2.58
Nd  0.4824  0.4339  0.2486  5 O 2.32-2.58
Nd  0.0176  0.9339  0.2514  5 O 2.32-2.58
Nd  0.9824  0.0661  0.7486  5 O 2.32-2.58
Cd  0.5000  0.0000  0.0000  6 O 2.30-2.35
Cd  0.0000  0.5000  0.5000  6 O 2.30-2.35
V  0.5000  0.0000  0.5000  6 O 1.90-2.03
V  0.0000  0.5000  0.0000  6 O 1.90-2.03

VASP calculation (PBE+U) on a relaxed structure of NdCdWO6.

## Properties
Electronic total energy, eV/atom: -6.65
Calculated density, Mg/m³: 6.70

a b c (Å): 4.6527 5.7452 5.7452
angles (deg): 120.00 90.00 90.00
Last column: nearest neighbours and their distance in Å.
Element x y z (fractional)
O  0.7299  0.2807  0.9910  1 W 1.96
O  0.2701  0.7103  0.9910  1 W 1.96
O  0.7299  0.7103  0.7193  1 W 1.96
O  0.2701  0.0090  0.7193  1 W 1.96
O  0.7299  0.0090  0.2897  1 W 1.96
O  0.2701  0.2807  0.2897  1 W 1.96
W  0.5000  0.0000  0.0000  6 O 1.96
Cd  0.0000  0.3333  0.6667  6 O 2.39
Nd  0.5000  0.6667  0.3333  6 O 2.36